{"formula": "LiZrTlAu", "functional": "PBE", "state": "relaxed", "lattice": [[4.8224, 0.0000, 0.0000], [2.4112, 4.1763, 0.0000], [2.4112, 1.3921, 3.9375]], "species": ["Au", "Li", "Tl", "Zr"], "frac_coords": [[0.0000, 0.0000, 0.0000], [0.2500, 0.2500, 0.2500], [0.5000, 0.5000, 0.5000], [0.7500, 0.7500, 0.7500]], "formation_enthalpy_0k_kj_per_mol_fu": -114.4, "energy_ha_per_atom": -0.1589, "dos_ef_per_ev_cell": 2.21, "sg": "F-43m (216)"}